[1]
# Cu2Pd3Pt

A relaxed structure of Cu2Pd3Pt (PBE-GGA, the Alexandria database).

abc: 3.789 3.897 11.748
angles: 90.00 90.00 90.00
Fractional coordinates of all 12 atoms:
Pd (0.500, 0.250, 0.580)
Cu (0.000, 0.750, 0.917)
Pd (0.500, 0.250, 0.920)
Pd (0.500, 0.750, 0.080)
Pd (0.500, 0.750, 0.750)
Pt (0.000, 0.750, 0.250)
Cu (0.000, 0.750, 0.583)
Cu (0.000, 0.250, 0.417)
Cu (0.000, 0.250, 0.083)
Pd (0.500, 0.750, 0.420)
Pt (0.000, 0.250, 0.750)
Pd (0.500, 0.250, 0.250)

Computed properties:
Total moment = 0.000 μB/atom

---

[2]
# Cu5PdPt6

A relaxed structure of Cu5PdPt6 (PBE-GGA, the Alexandria database).

abc: 4.632 5.542 6.658
angles: 90.00 92.86 90.00
Fractional coordinates of all 12 atoms:
Cu (0.674, 0.500, 0.332)
Pt (0.176, 0.252, 0.339)
Pt (0.824, 0.252, 0.661)
Pt (0.176, 0.748, 0.339)
Pt (0.500, 0.745, 0.000)
Pt (0.500, 0.255, 0.000)
Cu (0.329, 0.000, 0.667)
Pt (0.824, 0.748, 0.661)
Cu (0.671, 0.000, 0.333)
Cu (0.000, 0.500, 0.000)
Pd (0.000, 0.000, 0.000)
Cu (0.326, 0.500, 0.668)

Computed properties:
Total moment = 0.000 μB/atom

---

[3]
# Cu4Pd2Pt3

A relaxed structure of Cu4Pd2Pt3 (PBE-GGA, the Alexandria database).

abc: 3.896 4.621 8.066
angles: 75.72 90.00 114.93
Fractional coordinates of all 9 atoms:
Pt (0.664, 0.328, 0.440)
Pd (0.668, 0.336, 0.783)
Cu (0.334, 0.668, 0.890)
Pd (0.332, 0.664, 0.217)
Cu (0.002, 0.003, 0.667)
Cu (0.666, 0.332, 0.110)
Pt (0.000, 0.000, 0.000)
Pt (0.336, 0.672, 0.560)
Cu (0.998, 0.997, 0.333)

Computed properties:
Total moment = 0.000 μB/atom

---

[4]
# CuPdPt2

A relaxed structure of CuPdPt2 (PBE-GGA, the Alexandria database).

abc: 3.937 3.877 3.877
angles: 90.00 90.00 90.00
Fractional coordinates of all 4 atoms:
Pt (0.000, 0.500, 0.000)
Pt (0.000, 0.000, 0.500)
Cu (0.500, 0.000, 0.000)
Pd (0.500, 0.500, 0.500)

Computed properties:
Total moment = 0.000 μB/atom

---

[5]
# CuPd2Pt2

A relaxed structure of CuPd2Pt2 (PBE-GGA, the Alexandria database).

abc: 6.511 6.511 3.853
angles: 90.00 90.00 90.00
Fractional coordinates of all 10 atoms:
Pd (0.342, 0.158, 0.500)
Pt (0.145, 0.355, 0.000)
Cu (0.000, 0.000, 0.000)
Pd (0.842, 0.342, 0.500)
Pt (0.855, 0.645, 0.000)
Pt (0.645, 0.145, 0.000)
Pd (0.658, 0.842, 0.500)
Pd (0.158, 0.658, 0.500)
Cu (0.500, 0.500, 0.000)
Pt (0.355, 0.855, 0.000)

Computed properties:
Total moment = 0.000 μB/atom

---

[6]
# CuPdPt2

A relaxed structure of CuPdPt2 (PBE-GGA, the Alexandria database).

abc: 4.385 4.385 4.385
angles: 60.00 60.00 60.00
Fractional coordinates of all 4 atoms:
Pt (0.250, 0.250, 0.250)
Pd (0.500, 0.500, 0.500)
Cu (0.000, 0.000, 0.000)
Pt (0.750, 0.750, 0.750)

Computed properties:
Total moment = 0.000 μB/atom

---

[7]
# Cu7PdPt4

A relaxed structure of Cu7PdPt4 (PBE-GGA, the Alexandria database).

abc: 4.593 8.569 5.135
angles: 87.59 63.44 74.46
Fractional coordinates of all 12 atoms:
Cu (0.655, 0.468, 0.223)
Pt (0.716, 0.694, 0.874)
Cu (0.205, 0.088, 0.502)
Cu (0.500, 0.000, 0.000)
Cu (0.037, 0.621, 0.305)
Cu (0.795, 0.912, 0.498)
Cu (0.963, 0.379, 0.695)
Pd (0.000, 0.000, 0.000)
Pt (0.284, 0.306, 0.126)
Pt (0.624, 0.226, 0.526)
Pt (0.376, 0.774, 0.474)
Cu (0.345, 0.532, 0.777)

Computed properties:
Total moment = 0.000 μB/atom

---

[8]
# Cu3Pd4Pt4

A relaxed structure of Cu3Pd4Pt4 (PBE-GGA, the Alexandria database).

abc: 2.666 4.498 14.249
angles: 80.99 84.69 90.01
Fractional coordinates of all 11 atoms:
Pd (0.270, 0.270, 0.459)
Pt (0.453, 0.452, 0.092)
Cu (0.000, 0.000, 0.000)
Cu (0.862, 0.361, 0.275)
Pt (0.681, 0.182, 0.638)
Pt (0.319, 0.818, 0.362)
Pd (0.410, 0.909, 0.179)
Cu (0.138, 0.639, 0.725)
Pd (0.590, 0.091, 0.821)
Pt (0.547, 0.548, 0.908)
Pd (0.730, 0.730, 0.541)

Computed properties:
Total moment = 0.000 μB/atom

---

[9]
# CuPd4Pt15

A relaxed structure of CuPd4Pt15 (PBE-GGA, the Alexandria database).

abc: 3.939 3.939 19.937
angles: 90.00 90.00 90.00
Fractional coordinates of all 20 atoms:
Cu (0.000, 0.000, 0.000)
Pt (0.500, 0.500, 0.400)
Pt (0.000, 0.500, 0.096)
Pd (0.000, 0.000, 0.399)
Pt (0.500, 0.500, 0.600)
Pd (0.000, 0.000, 0.198)
Pt (0.500, 0.500, 0.000)
Pd (0.000, 0.000, 0.802)
Pt (0.500, 0.000, 0.500)
Pd (0.000, 0.000, 0.601)
Pt (0.500, 0.500, 0.803)
Pt (0.500, 0.000, 0.299)
Pt (0.500, 0.000, 0.096)
Pt (0.000, 0.500, 0.500)
Pt (0.000, 0.500, 0.701)
Pt (0.000, 0.500, 0.904)
Pt (0.500, 0.000, 0.701)
Pt (0.000, 0.500, 0.299)
Pt (0.500, 0.000, 0.904)
Pt (0.500, 0.500, 0.197)

Computed properties:
Total moment = 0.000 μB/atom

---

[10]
# Cu5Pd2Pt4

A relaxed structure of Cu5Pd2Pt4 (PBE-GGA, the Alexandria database).

abc: 4.061 6.207 6.820
angles: 87.37 107.32 90.00
Fractional coordinates of all 11 atoms:
Pt (0.064, 0.317, 0.129)
Cu (0.899, 0.099, 0.797)
Pd (0.414, 0.393, 0.829)
Cu (0.225, 0.592, 0.451)
Cu (0.500, 0.000, 0.000)
Pt (0.256, 0.139, 0.513)
Pt (0.936, 0.683, 0.871)
Cu (0.775, 0.408, 0.549)
Pt (0.744, 0.861, 0.487)
Pd (0.586, 0.607, 0.171)
Cu (0.101, 0.901, 0.203)

Computed properties:
Total moment = 0.000 μB/atom

---

[11]
# Cu5Pd5Pt2

A relaxed structure of Cu5Pd5Pt2 (PBE-GGA, the Alexandria database).

abc: 3.763 8.194 6.137
angles: 99.07 72.14 76.72
Fractional coordinates of all 12 atoms:
Pt (0.666, 0.497, 0.171)
Cu (0.334, 0.249, 0.083)
Pd (0.329, 0.754, 0.588)
Pd (0.000, 0.000, 0.000)
Cu (0.331, 0.002, 0.336)
Cu (0.669, 0.998, 0.664)
Pd (0.004, 0.242, 0.751)
Cu (0.000, 0.500, 0.500)
Pt (0.334, 0.503, 0.829)
Pd (0.996, 0.758, 0.249)
Pd (0.671, 0.246, 0.412)
Cu (0.666, 0.751, 0.917)

Computed properties:
Total moment = 0.000 μB/atom

---

[12]
# CuPd6Pt2

A relaxed structure of CuPd6Pt2 (PBE-GGA, the Alexandria database).

abc: 7.422 4.697 8.107
angles: 90.00 103.08 90.00
Fractional coordinates of all 18 atoms:
Pd (0.166, 0.475, 0.447)
Pt (0.500, 0.551, 0.670)
Pd (0.671, 0.943, 0.281)
Pd (0.329, 0.057, 0.719)
Pd (0.334, 0.975, 0.053)
Cu (0.000, 0.000, 0.500)
Pt (0.000, 0.949, 0.170)
Pd (0.666, 0.025, 0.947)
Pd (0.334, 0.959, 0.389)
Pd (0.166, 0.459, 0.111)
Cu (0.500, 0.500, 0.000)
Pd (0.171, 0.557, 0.781)
Pt (0.000, 0.051, 0.830)
Pt (0.500, 0.449, 0.330)
Pd (0.666, 0.041, 0.611)
Pd (0.829, 0.443, 0.219)
Pd (0.834, 0.525, 0.553)
Pd (0.834, 0.541, 0.889)

Computed properties:
Total moment = 0.000 μB/atom

---

Number 1: formation energy -7.48 kJ per mole of atoms. Number 2: formation energy -11.24 kJ per mole of atoms. Number 3: formation energy -11.55 kJ per mole of atoms. Number 4: formation energy -9.10 kJ per mole of atoms. Number 5: formation energy 17.10 kJ per mole of atoms. Number 6: formation energy 2.52 kJ per mole of atoms. Number 7: formation energy 10.98 kJ per mole of atoms. Number 8: formation energy 6.69 kJ per mole of atoms. Number 9: formation energy -4.87 kJ per mole of atoms. Number 10: formation energy 6.19 kJ per mole of atoms. Number 11: formation energy -8.68 kJ per mole of atoms. Number 12: formation energy 1.25 kJ per mole of atoms.